This record from Alexandria via LeMat-Bulk describes MgSn3I after structural relaxation. The functional is PBE-GGA.

Cell: 5.5553 5.5553 5.5553 Å, 90.00 90.00 90.00°
Closest atoms and distances in Å follow each position.
Positions (direct):
Mg1 0.0000 0.0000 0.0000  6 Sn 2.78
Sn1 0.0000 0.0000 0.5000  2 Mg 2.78
Sn2 0.0000 0.5000 0.0000  2 Mg 2.78
Sn3 0.5000 0.0000 0.0000  2 Mg 2.78
I1 0.5000 0.5000 0.5000  12 Sn 3.93

Output
The calculation puts the raw formation energy at 0.38 eV per atom. The total moment is 0.00 μB/f.u. As for the final energy: -2.65 eV per atom.